# Li4Mn3O5F3, optimized geometry, DFT GGA+U
# Space group: Cm (8)
# DFT total energy (eV/atom): -6.133
data_Li4Mn3O5F3
_chemical_formula_sum 'Li8 Mn6 O10 F6'
_symmetry_space_group_name_H-M 'P 1'
_symmetry_Int_Tables_number 1
_symmetry_space_group_name_Hall 'P 1'
_cell_length_a 2.934
_cell_length_b 15.801
_cell_length_c 6.724
_cell_angle_alpha 90.23
_cell_angle_beta 77.39
_cell_angle_gamma 90.00
loop_
_atom_site_label
_atom_site_fract_x
_atom_site_fract_y
_atom_site_fract_z
Li1 0.119 0.378 0.763
Li2 0.619 0.878 0.763
Li3 0.769 0.261 0.462
Li4 0.269 0.761 0.462
Li5 0.367 0.119 0.266
Li6 0.867 0.619 0.266
Li7 0.004 0.002 0.993
Li8 0.504 0.502 0.993
Mn1 0.552 0.694 0.895
Mn2 0.317 0.929 0.366
Mn3 0.683 0.061 0.635
Mn4 0.052 0.194 0.895
Mn5 0.817 0.429 0.366
Mn6 0.183 0.561 0.635
O1 0.282 0.353 0.436
O2 0.782 0.853 0.436
O3 0.829 0.017 0.343
O4 0.329 0.517 0.343
O5 0.543 0.097 0.914
O6 0.043 0.597 0.914
O7 0.657 0.482 0.686
O8 0.157 0.982 0.686
O9 0.213 0.139 0.574
O10 0.713 0.639 0.574
F1 0.892 0.198 0.215
F2 0.392 0.698 0.215
F3 0.981 0.422 0.040
F4 0.481 0.922 0.040
F5 0.606 0.286 0.788
F6 0.106 0.786 0.788